[1]
A plane-wave DFT calculation with GGA-PBE was carried out for a relaxed Rb2TbPbO4 crystal.

abc: 6.315 6.316 6.473
angles: 119.27 119.26 89.88
Site moments in Bohr magnetons follow the coordinates.
Element x y z (fractional)
O 0.703 0.605 0.724  0.12
O 0.022 0.119 0.724  0.12
O 0.866 0.450 0.218  0.12
O 0.352 0.768 0.218  0.12
Tb 0.986 0.486 0.972  0.05
Rb 0.486 0.986 0.973  0.00
Rb 0.236 0.236 0.473  0.00
Pb 0.736 0.736 0.472  0.13

Summary:
V: 186.72 Å³/cell
Energy relative to the elements, uncorrected: -1.819 eV/atom
Space group: C2, No. 5
E_tot: -5.582 eV/atom

[2]
A plane-wave DFT calculation with GGA-PBE was carried out for a relaxed Rb2Tb2PbO6 crystal.

abc: 6.020 6.020 6.986
angles: 97.89 97.89 120.02
Element x y z (fractional)
Pb 0.000 0.000 0.500
O 0.382 0.049 0.669
O 0.951 0.618 0.331
O 0.264 0.264 0.331
O 0.618 0.951 0.331
O 0.736 0.736 0.669
O 0.049 0.382 0.669
Tb 0.666 0.334 0.500
Tb 0.334 0.666 0.500
Rb 0.835 0.165 0.000
Rb 0.165 0.835 0.000

Summary:
V: 210.79 Å³/cell
Energy relative to the elements, uncorrected: -2.219 eV/atom
Space group: C2/m, No. 12
E_tot: -6.279 eV/atom

[3]
A plane-wave DFT calculation with GGA-PBE was carried out for a relaxed Rb3Tb2PbO6 crystal.

abc: 6.185 6.185 6.899
angles: 98.57 98.57 120.01
Site moments in Bohr magnetons follow the coordinates.
Element x y z (fractional)
O 0.590 0.939 0.817  0.08
O 0.061 0.410 0.183  0.08
O 0.939 0.590 0.817  0.08
O 0.410 0.061 0.183  0.08
O 0.288 0.288 0.818  0.08
O 0.712 0.712 0.182  0.08
Tb 0.667 0.333 0.000  0.01
Tb 0.333 0.667 0.000  0.01
Rb 0.836 0.164 0.500  0.00
Rb 0.164 0.836 0.500  0.00
Rb 0.500 0.500 0.500  0.00
Pb 0.000 0.000 0.000  0.15

Summary:
V: 218.12 Å³/cell
Energy relative to the elements, uncorrected: -2.133 eV/atom
Space group: C2/m, No. 12
E_tot: -5.934 eV/atom

[4]
A plane-wave DFT calculation with GGA-PBE was carried out for a relaxed Rb3Tc2PbO8 crystal.

abc: 6.327 6.327 8.199
angles: 90.00 90.00 120.00
Site moments in Bohr magnetons follow the coordinates.
Element x y z (fractional)
O 0.333 0.667 0.004  0.06
O 0.822 0.178 0.694  0.08
O 0.357 0.178 0.694  0.08
O 0.822 0.643 0.694  0.08
O 0.178 0.822 0.306  0.08
O 0.643 0.822 0.306  0.08
O 0.667 0.333 0.996  0.06
O 0.178 0.357 0.306  0.08
Tc 0.667 0.333 0.780  0.97
Tc 0.333 0.667 0.220  0.97
Rb 0.000 0.000 0.000  0.00
Rb 0.667 0.333 0.330  0.01
Rb 0.333 0.667 0.670  0.01
Pb 0.000 0.000 0.500  0.05

Summary:
V: 284.22 Å³/cell
Energy relative to the elements, uncorrected: -1.506 eV/atom
Space group: P-3m1, No. 164
E_tot: -6.292 eV/atom

[5]
A plane-wave DFT calculation with GGA-PBE was carried out for a relaxed RbTc2PbO8 crystal.

abc: 6.261 6.323 7.918
angles: 60.57 66.71 60.32
Element x y z (fractional)
Tc 0.287 0.252 0.173
Tc 0.713 0.748 0.827
Rb 0.500 0.500 0.500
O 0.884 0.944 0.750
O 0.579 0.056 0.250
O 0.647 0.620 0.085
O 0.886 0.478 0.749
O 0.114 0.522 0.251
O 0.116 0.056 0.250
O 0.421 0.944 0.750
O 0.353 0.380 0.915
Pb 0.000 0.000 0.000

Summary:
V: 232.35 Å³/cell
Energy relative to the elements, uncorrected: -1.480 eV/atom
Space group: C2/m, No. 12
E_tot: -6.903 eV/atom

[6]
A plane-wave DFT calculation with GGA-PBE was carried out for a relaxed RbTcPbO5 crystal.

abc: 6.762 6.762 8.400
angles: 103.40 103.40 106.51
Site moments in Bohr magnetons follow the coordinates.
Element x y z (fractional)
Tc 0.677 0.323 0.250  0.25
Tc 0.323 0.677 0.750  0.25
O 0.065 0.935 0.250  -0.02
O 0.423 0.260 0.096  0.02
O 0.740 0.577 0.404  0.02
O 0.327 0.873 0.641  0.02
O 0.577 0.740 0.904  0.02
O 0.127 0.673 0.859  0.02
O 0.673 0.127 0.359  0.02
O 0.260 0.423 0.596  0.02
O 0.873 0.327 0.141  0.02
O 0.935 0.065 0.750  -0.02
Rb 0.322 0.678 0.250  0.00
Rb 0.678 0.322 0.750  0.00
Pb 0.000 0.000 0.000  0.00
Pb 0.000 0.000 0.500  0.00

Summary:
V: 339.48 Å³/cell
Energy relative to the elements, uncorrected: -1.373 eV/atom
Space group: C2/c, No. 15
E_tot: -6.353 eV/atom

[7]
A plane-wave DFT calculation with GGA-PBE was carried out for a relaxed RbTcPb2O6 crystal.

abc: 6.393 6.397 6.467
angles: 61.21 59.45 56.25
Element x y z (fractional)
O 0.235 0.028 0.227
O 0.364 0.682 0.764
O 0.213 0.346 0.783
O 0.681 0.178 0.785
O 0.507 0.248 0.209
O 0.001 0.558 0.183
Pb 0.533 0.513 0.450
Pb 0.029 0.018 0.930
Rb 0.789 0.782 0.637
Tc 0.310 0.309 0.047

Summary:
V: 181.90 Å³/cell
Energy relative to the elements, uncorrected: -1.291 eV/atom
Space group: P1, No. 1
E_tot: -6.140 eV/atom

[8]
A plane-wave DFT calculation with GGA-PBE was carried out for a relaxed Rb2Tc2PbO7 crystal.

abc: 4.013 4.013 11.443
angles: 79.88 79.88 90.00
Element x y z (fractional)
Tc 0.590 0.590 0.820
Tc 0.410 0.410 0.180
O 0.915 0.415 0.170
O 0.674 0.674 0.653
O 0.500 0.500 0.000
O 0.415 0.915 0.170
O 0.326 0.326 0.347
O 0.585 0.085 0.830
O 0.085 0.585 0.830
Pb 0.000 0.000 0.000
Rb 0.812 0.812 0.375
Rb 0.188 0.188 0.625

Summary:
V: 178.52 Å³/cell
Energy relative to the elements, uncorrected: -1.413 eV/atom
Space group: I4/mmm, No. 139
E_tot: -6.503 eV/atom

For each record above, in turn, the calculated total moment values are 0.76; 0.00; 0.76; 3.01; 0.00; 0.75; 0.00; 0.00 μB per cell.